Entry 1:
Here is a relaxed structure of Y4PdPt3 from Alexandria via LeMat-Bulk. Energies are from GGA-PBE.

Summary:
The calculation puts the formation enthalpy at 0 K at -1.1750 eV/atom. The value obtained for the volume is 180.2 Å³/cell.

abc: 3.801 4.480 10.581
angles: 90.00 90.00 90.00
Positions (direct):
Pd: 0.500 0.500 0.086
Y: 0.500 0.000 0.639
Y: 0.000 0.500 0.859
Pt: 0.000 0.500 0.587
Y: 0.500 0.500 0.364
Pt: 0.000 0.000 0.411
Y: 0.000 0.000 0.138
Pt: 0.500 0.000 0.916

---

Entry 2:
Here is a relaxed structure of Y7Pd2Pt2 from Alexandria via LeMat-Bulk. Energies are from GGA-PBE.

Summary:
The calculation puts the formation enthalpy at 0 K at -0.8014 eV/atom. The value obtained for the volume is 284.1 Å³/cell.

abc: 3.840 9.286 9.286
angles: 62.13 78.07 78.07
Each line ends with the local moment (μB).
Positions (direct):
Pt: 0.740 0.867 0.654  0.00
Pd: 0.000 0.768 0.232  0.01
Pd: 0.500 0.363 0.637  0.01
Y: 0.877 0.379 0.867  0.02
Y: 0.385 0.721 0.509  0.01
Y: 0.193 0.704 0.909  0.02
Y: 0.807 0.091 0.296  0.02
Pt: 0.260 0.346 0.133  0.00
Y: 0.615 0.491 0.279  0.01
Y: 0.123 0.133 0.621  0.02
Y: 0.500 0.990 0.010  0.07

---

Entry 3:
Here is a relaxed structure of Y2PdPt from Alexandria via LeMat-Bulk. Energies are from GGA-PBE.

Summary:
The calculation puts the formation enthalpy at 0 K at -1.0919 eV/atom. The value obtained for the volume is 180.4 Å³/cell.

abc: 4.503 5.620 7.576
angles: 109.74 90.00 90.00
Positions (direct):
Pd: 0.250 0.323 0.706
Y: 0.750 0.221 0.934
Pt: 0.250 0.332 0.208
Pd: 0.750 0.677 0.294
Y: 0.750 0.227 0.428
Pt: 0.750 0.668 0.792
Y: 0.250 0.773 0.572
Y: 0.250 0.779 0.066

---

Entry 4:
Here is a relaxed structure of YPdPt3 from Alexandria via LeMat-Bulk. Energies are from GGA-PBE.

Summary:
The calculation puts the formation enthalpy at 0 K at 0.3464 eV/atom. The value obtained for the volume is 113.9 Å³/cell.

abc: 4.848 4.848 4.848
angles: 90.00 90.00 90.00
Positions (direct):
Pt: 0.000 0.500 0.000
Pt: 0.500 0.000 0.000
Pd: 0.000 0.000 0.000
Y: 0.500 0.500 0.500
Pt: 0.000 0.000 0.500

---

Theoretical density across the listed records, respectively: 9.65, 7.16, 8.82, 11.38 g/cm3.